1.
The following is a PBEsol calculation of an optimized crystal structure of AgSb3Pt, from Alexandria via LeMat-Bulk.

Structure (CIF):
```
data_AgSb3Pt
_symmetry_space_group_name_H-M 'P 1'
_symmetry_Int_Tables_number 1
_cell_length_a 5.205
_cell_length_b 5.205
_cell_length_c 5.205
_cell_angle_alpha 90.00
_cell_angle_beta 90.00
_cell_angle_gamma 90.00
loop_
_symmetry_equiv_pos_as_xyz
'x,y,z'
loop_
_atom_site_label
_atom_site_type_symbol
_atom_site_fract_x
_atom_site_fract_y
_atom_site_fract_z
Ag1 Ag 0.500 0.500 0.500
Sb1 Sb 0.000 0.500 0.000
Sb2 Sb 0.500 0.000 0.000
Sb3 Sb 0.000 0.000 0.500
Pt1 Pt 0.000 0.000 0.000
```

Computed properties:
Its theoretical density is 7.9 Mg/m³. The offset from the most stable computed form is 0.00 eV/f.u. The raw total energy is -21.12 eV for the cell shown. As for the formation energy without anion corrections: 0.565 eV/atom.

---

2.
The following is a PBEsol calculation of an optimized crystal structure of Li2MnSiO4, from Alexandria via LeMat-Bulk.

Structure (CIF):
```
data_Li2MnSiO4
_symmetry_space_group_name_H-M 'P 1'
_symmetry_Int_Tables_number 1
_cell_length_a 5.312
_cell_length_b 10.461
_cell_length_c 12.897
_cell_angle_alpha 90.00
_cell_angle_beta 90.00
_cell_angle_gamma 90.00
loop_
_symmetry_equiv_pos_as_xyz
'x,y,z'
loop_
_atom_site_label
_atom_site_type_symbol
_atom_site_fract_x
_atom_site_fract_y
_atom_site_fract_z
O1 O 0.419 0.472 0.083
O2 O 0.922 0.211 0.538
O3 O 0.922 0.289 0.038
O4 O 0.999 0.230 0.326
O5 O 0.001 0.770 0.826
O6 O 0.075 0.939 0.438
O7 O 0.351 0.199 0.950
O8 O 0.512 0.192 0.188
O9 O 0.590 0.523 0.792
O10 O 0.001 0.730 0.326
O11 O 0.419 0.028 0.583
O12 O 0.581 0.972 0.083
O13 O 0.649 0.801 0.450
O14 O 0.410 0.023 0.792
O15 O 0.999 0.270 0.826
O16 O 0.158 0.993 0.189
O17 O 0.590 0.977 0.292
O18 O 0.649 0.699 0.950
O19 O 0.488 0.692 0.188
O20 O 0.075 0.561 0.938
O21 O 0.581 0.528 0.583
O22 O 0.158 0.507 0.689
O23 O 0.512 0.308 0.688
O24 O 0.351 0.301 0.450
O25 O 0.842 0.493 0.189
O26 O 0.842 0.007 0.689
O27 O 0.410 0.477 0.292
O28 O 0.078 0.789 0.038
O29 O 0.078 0.711 0.538
O30 O 0.488 0.808 0.688
O31 O 0.925 0.061 0.938
O32 O 0.925 0.439 0.438
Li1 Li 0.628 0.789 0.297
Li2 Li 0.869 0.288 0.199
Li3 Li 0.372 0.211 0.797
Li4 Li 0.051 0.465 0.065
Li5 Li 0.556 0.453 0.438
Li6 Li 0.444 0.547 0.938
Li7 Li 0.949 0.535 0.565
Li8 Li 0.131 0.712 0.699
Li9 Li 0.628 0.711 0.797
Li10 Li 0.131 0.788 0.199
Li11 Li 0.949 0.965 0.065
Li12 Li 0.372 0.289 0.297
Li13 Li 0.051 0.035 0.565
Li14 Li 0.556 0.047 0.938
Li15 Li 0.444 0.953 0.438
Li16 Li 0.869 0.212 0.699
Si1 Si 0.959 0.794 0.442
Si2 Si 0.543 0.537 0.187
Si3 Si 0.041 0.294 0.442
Si4 Si 0.543 0.963 0.687
Si5 Si 0.457 0.037 0.187
Si6 Si 0.041 0.206 0.942
Si7 Si 0.959 0.706 0.942
Si8 Si 0.457 0.463 0.687
Mn1 Mn 0.537 0.295 0.053
Mn2 Mn 0.463 0.705 0.553
Mn3 Mn 0.053 0.540 0.315
Mn4 Mn 0.053 0.960 0.815
Mn5 Mn 0.537 0.205 0.553
Mn6 Mn 0.947 0.460 0.815
Mn7 Mn 0.463 0.795 0.053
Mn8 Mn 0.947 0.040 0.315
```

Computed properties:
Its theoretical density is 3.0 Mg/m³. The offset from the most stable computed form is 0.42 eV/f.u. The raw total energy is -463.60 eV for the cell shown. As for the formation energy without anion corrections: -2.189 eV/atom.

---

3.
The following is a PBEsol calculation of an optimized crystal structure of KCdHg2, from Alexandria via LeMat-Bulk.

Structure (CIF):
```
data_KCdHg2
_symmetry_space_group_name_H-M 'P 1'
_symmetry_Int_Tables_number 1
_cell_length_a 4.866
_cell_length_b 4.866
_cell_length_c 5.664
_cell_angle_alpha 115.44
_cell_angle_beta 115.44
_cell_angle_gamma 90.00
loop_
_symmetry_equiv_pos_as_xyz
'x,y,z'
loop_
_atom_site_label
_atom_site_type_symbol
_atom_site_fract_x
_atom_site_fract_y
_atom_site_fract_z
Hg1 Hg 0.750 0.250 0.500
Hg2 Hg 0.000 0.000 0.000
Cd1 Cd 0.250 0.750 0.500
K1 K 0.500 0.500 0.000
```

Computed properties:
Its theoretical density is 8.6 Mg/m³. The raw total energy is -3.80 eV for the cell shown.

---

4.
The following is a PBEsol calculation of an optimized crystal structure of CuRuSe2, from Alexandria via LeMat-Bulk.

Structure (CIF):
```
data_CuRuSe2
_symmetry_space_group_name_H-M 'P 1'
_symmetry_Int_Tables_number 1
_cell_length_a 3.615
_cell_length_b 3.615
_cell_length_c 7.433
_cell_angle_alpha 75.93
_cell_angle_beta 75.93
_cell_angle_gamma 60.00
loop_
_symmetry_equiv_pos_as_xyz
'x,y,z'
loop_
_atom_site_label
_atom_site_type_symbol
_atom_site_fract_x
_atom_site_fract_y
_atom_site_fract_z
Cu1 Cu 0.000 0.000 0.000
Se1 Se 0.895 0.895 0.316
Se2 Se 0.105 0.105 0.684
Ru1 Ru 0.500 0.500 0.500
```

Computed properties:
Its theoretical density is 6.6 Mg/m³. The raw total energy is -22.07 eV for the cell shown. As for the formation energy without anion corrections: 0.034 eV/atom.

---

5.
The following is a PBEsol calculation of an optimized crystal structure of LiZrCu4, from Alexandria via LeMat-Bulk.

Structure (CIF):
```
data_LiZrCu4
_symmetry_space_group_name_H-M 'P 1'
_symmetry_Int_Tables_number 1
_cell_length_a 4.858
_cell_length_b 4.858
_cell_length_c 4.858
_cell_angle_alpha 60.00
_cell_angle_beta 60.00
_cell_angle_gamma 60.00
loop_
_symmetry_equiv_pos_as_xyz
'x,y,z'
loop_
_atom_site_label
_atom_site_type_symbol
_atom_site_fract_x
_atom_site_fract_y
_atom_site_fract_z
Cu1 Cu 0.376 0.376 0.872
Cu2 Cu 0.376 0.872 0.376
Cu3 Cu 0.376 0.376 0.376
Cu4 Cu 0.872 0.376 0.376
Li1 Li 0.750 0.750 0.750
Zr1 Zr 0.000 0.000 0.000
```

Computed properties:
Its theoretical density is 7.2 Mg/m³. The raw total energy is -29.02 eV for the cell shown.

---

6.
The following is a PBEsol calculation of an optimized crystal structure of HfZn22, from Alexandria via LeMat-Bulk.

Structure (CIF):
```
data_HfZn22
_symmetry_space_group_name_H-M 'P 1'
_symmetry_Int_Tables_number 1
_cell_length_a 9.776
_cell_length_b 9.776
_cell_length_c 9.776
_cell_angle_alpha 60.00
_cell_angle_beta 60.00
_cell_angle_gamma 60.00
loop_
_symmetry_equiv_pos_as_xyz
'x,y,z'
loop_
_atom_site_label
_atom_site_type_symbol
_atom_site_fract_x
_atom_site_fract_y
_atom_site_fract_z
Zn1 Zn 0.806 0.320 0.067
Zn2 Zn 0.625 0.625 0.625
Zn3 Zn 0.890 0.610 0.890
Zn4 Zn 0.125 0.625 0.125
Zn5 Zn 0.610 0.890 0.890
Zn6 Zn 0.806 0.067 0.806
Zn7 Zn 0.806 0.320 0.806
Zn8 Zn 0.067 0.806 0.320
Zn9 Zn 0.444 0.930 0.444
Zn10 Zn 0.320 0.806 0.067
Zn11 Zn 0.183 0.444 0.444
Zn12 Zn 0.067 0.320 0.806
Zn13 Zn 0.125 0.625 0.625
Zn14 Zn 0.806 0.806 0.067
Zn15 Zn 0.125 0.125 0.125
Zn16 Zn 0.360 0.640 0.640
Zn17 Zn 0.890 0.890 0.610
Zn18 Zn 0.625 0.125 0.125
Zn19 Zn 0.610 0.890 0.610
Zn20 Zn 0.320 0.067 0.806
Zn21 Zn 0.930 0.444 0.444
Zn22 Zn 0.625 0.125 0.625
Zn23 Zn 0.444 0.183 0.444
Zn24 Zn 0.444 0.444 0.930
Zn25 Zn 0.890 0.610 0.610
Zn26 Zn 0.930 0.183 0.444
Zn27 Zn 0.360 0.360 0.640
Zn28 Zn 0.640 0.640 0.360
Zn29 Zn 0.320 0.806 0.806
Zn30 Zn 0.183 0.444 0.930
Zn31 Zn 0.444 0.930 0.183
Zn32 Zn 0.183 0.930 0.444
Zn33 Zn 0.806 0.067 0.320
Zn34 Zn 0.930 0.444 0.183
Zn35 Zn 0.444 0.183 0.930
Zn36 Zn 0.610 0.610 0.890
Zn37 Zn 0.067 0.806 0.806
Zn38 Zn 0.625 0.625 0.125
Zn39 Zn 0.360 0.640 0.360
Zn40 Zn 0.640 0.360 0.360
Zn41 Zn 0.806 0.806 0.320
Zn42 Zn 0.640 0.360 0.640
Zn43 Zn 0.125 0.125 0.625
Zn44 Zn 0.444 0.444 0.183
Hf1 Hf 0.250 0.250 0.250
Hf2 Hf 0.000 0.000 0.000
```

Computed properties:
Its theoretical density is 8.1 Mg/m³. The raw total energy is -92.92 eV for the cell shown.

---

7.
The following is a PBEsol calculation of an optimized crystal structure of CsVS2O8, from Alexandria via LeMat-Bulk.

Structure (CIF):
```
data_CsVS2O8
_symmetry_space_group_name_H-M 'P 1'
_symmetry_Int_Tables_number 1
_cell_length_a 4.916
_cell_length_b 4.916
_cell_length_c 8.687
_cell_angle_alpha 90.00
_cell_angle_beta 90.00
_cell_angle_gamma 120.00
loop_
_symmetry_equiv_pos_as_xyz
'x,y,z'
loop_
_atom_site_label
_atom_site_type_symbol
_atom_site_fract_x
_atom_site_fract_y
_atom_site_fract_z
S1 S 0.667 0.333 0.308
S2 S 0.333 0.667 0.692
O1 O 0.358 0.281 0.366
O2 O 0.719 0.077 0.366
O3 O 0.333 0.667 0.860
O4 O 0.642 0.719 0.634
O5 O 0.923 0.642 0.366
O6 O 0.667 0.333 0.140
O7 O 0.281 0.923 0.634
O8 O 0.077 0.358 0.634
V1 V 0.000 0.000 0.500
Cs1 Cs 0.000 0.000 0.000
```

Computed properties:
Its theoretical density is 3.4 Mg/m³. The raw total energy is -82.37 eV for the cell shown. As for the formation energy without anion corrections: -1.753 eV/atom.

---

8.
The following is a PBEsol calculation of an optimized crystal structure of Li3HgGe, from Alexandria via LeMat-Bulk.

Structure (CIF):
```
data_Li3HgGe
_symmetry_space_group_name_H-M 'P 1'
_symmetry_Int_Tables_number 1
_cell_length_a 4.773
_cell_length_b 4.773
_cell_length_c 4.773
_cell_angle_alpha 90.00
_cell_angle_beta 90.00
_cell_angle_gamma 90.00
loop_
_symmetry_equiv_pos_as_xyz
'x,y,z'
loop_
_atom_site_label
_atom_site_type_symbol
_atom_site_fract_x
_atom_site_fract_y
_atom_site_fract_z
Li1 Li 0.000 0.500 0.000
Li2 Li 0.000 0.000 0.500
Li3 Li 0.500 0.000 0.000
Ge1 Ge 0.000 0.000 0.000
Hg1 Hg 0.500 0.500 0.500
```

Computed properties:
Its theoretical density is 4.5 Mg/m³. The raw total energy is -11.33 eV for the cell shown.